A plane-wave DFT calculation with PBE was carried out for a geometry-optimized FeSi2Se structure.

```
data_FeSi2Se
_space_group_name_H-M_alt 'P 1'
_space_group_IT_number 1
_cell_length_a 3.662
_cell_length_b 3.307
_cell_length_c 5.643
_cell_angle_alpha 90.00
_cell_angle_beta 90.00
_cell_angle_gamma 90.00
loop_
_space_group_symop_operation_xyz
'x,y,z'
loop_
_atom_site_label
_atom_site_type_symbol
_atom_site_fract_x
_atom_site_fract_y
_atom_site_fract_z
Fe1 Fe 0.000 0.625 0.374
Si1 Si 0.500 0.125 0.365
Si2 Si 0.000 0.125 0.074
Se1 Se 0.500 0.625 0.687
```

Calculated values
**Space-group type**: Pmm2, No. 25
**E**: -5.537 eV/atom
**Uncorrected formation energy**: 0.161 eV per atom

=====

A plane-wave DFT calculation with PBE was carried out for a geometry-optimized TlBRh3 structure.

```
data_TlBRh3
_space_group_name_H-M_alt 'P 1'
_space_group_IT_number 1
_cell_length_a 7.393
_cell_length_b 2.906
_cell_length_c 7.393
_cell_angle_alpha 78.67
_cell_angle_beta 73.91
_cell_angle_gamma 78.66
loop_
_space_group_symop_operation_xyz
'x,y,z'
loop_
_atom_site_label
_atom_site_type_symbol
_atom_site_fract_x
_atom_site_fract_y
_atom_site_fract_z
Tl1 Tl 0.646 0.653 0.177
Tl2 Tl 0.146 0.153 0.677
B1 B 0.084 0.904 0.240
B2 B 0.584 0.404 0.740
Rh1 Rh 0.289 0.282 0.278
Rh2 Rh 0.045 0.525 0.035
Rh3 Rh 0.789 0.782 0.778
Rh4 Rh 0.545 0.025 0.535
Rh5 Rh 0.898 0.404 0.425
Rh6 Rh 0.398 0.904 0.925
```

Calculated values
**Space-group type**: Amm2, No. 38
**E**: -6.303 eV/atom

=====

A plane-wave DFT calculation with PBE was carried out for a geometry-optimized HgHPd2 structure.

```
data_HgHPd2
_space_group_name_H-M_alt 'P 1'
_space_group_IT_number 1
_cell_length_a 6.810
_cell_length_b 4.592
_cell_length_c 7.193
_cell_angle_alpha 90.00
_cell_angle_beta 103.33
_cell_angle_gamma 90.00
loop_
_space_group_symop_operation_xyz
'x,y,z'
loop_
_atom_site_label
_atom_site_type_symbol
_atom_site_fract_x
_atom_site_fract_y
_atom_site_fract_z
Pd1 Pd 0.462 0.246 0.847
Pd2 Pd 0.624 0.251 0.499
Pd3 Pd 0.962 0.254 0.847
Pd4 Pd 0.124 0.249 0.499
Pd5 Pd 0.876 0.751 0.501
Pd6 Pd 0.376 0.749 0.501
Pd7 Pd 0.038 0.746 0.153
Pd8 Pd 0.538 0.754 0.153
Hg1 Hg 0.793 0.252 0.174
Hg2 Hg 0.293 0.248 0.174
Hg3 Hg 0.707 0.752 0.826
Hg4 Hg 0.207 0.748 0.826
H1 H 0.605 0.658 0.409
H2 H 0.395 0.342 0.591
H3 H 0.105 0.842 0.409
H4 H 0.895 0.158 0.591
```

Calculated values
**Space-group type**: P2_1/c, No. 14
**E**: -3.648 eV/atom

=====

A plane-wave DFT calculation with PBE was carried out for a geometry-optimized ZnTe2PN structure.

```
data_ZnTe2PN
_space_group_name_H-M_alt 'P 1'
_space_group_IT_number 1
_cell_length_a 5.708
_cell_length_b 5.708
_cell_length_c 3.228
_cell_angle_alpha 90.00
_cell_angle_beta 90.00
_cell_angle_gamma 90.00
loop_
_space_group_symop_operation_xyz
'x,y,z'
loop_
_atom_site_label
_atom_site_type_symbol
_atom_site_fract_x
_atom_site_fract_y
_atom_site_fract_z
N1 N 0.000 0.000 0.500
Te1 Te 0.000 0.500 0.000
Te2 Te 0.500 0.000 0.000
P1 P 0.000 0.000 0.000
Zn1 Zn 0.500 0.500 0.500
```

Calculated values
**Space-group type**: P4/mmm, No. 123
**E**: -3.757 eV/atom
**Uncorrected formation energy**: 0.501 eV per atom

=====

A plane-wave DFT calculation with PBE was carried out for a geometry-optimized Ca2IrPt structure.

```
data_Ca2IrPt
_space_group_name_H-M_alt 'P 1'
_space_group_IT_number 1
_cell_length_a 10.146
_cell_length_b 10.146
_cell_length_c 10.146
_cell_angle_alpha 18.55
_cell_angle_beta 18.55
_cell_angle_gamma 18.55
loop_
_space_group_symop_operation_xyz
'x,y,z'
loop_
_atom_site_label
_atom_site_type_symbol
_atom_site_fract_x
_atom_site_fract_y
_atom_site_fract_z
Ca1 Ca 0.231 0.231 0.231
Ca2 Ca 0.019 0.019 0.019
Pt1 Pt 0.757 0.757 0.757
Ir1 Ir 0.494 0.494 0.494
```

Calculated values
**Space-group type**: R3m, No. 160
**E**: -4.417 eV/atom

=====

A plane-wave DFT calculation with PBE was carried out for a geometry-optimized Dy12Co6Ag structure.

```
data_Dy12Co6Ag
_space_group_name_H-M_alt 'P 1'
_space_group_IT_number 1
_cell_length_a 8.332
_cell_length_b 8.332
_cell_length_c 8.332
_cell_angle_alpha 109.47
_cell_angle_beta 109.47
_cell_angle_gamma 109.47
loop_
_space_group_symop_operation_xyz
'x,y,z'
loop_
_atom_site_label
_atom_site_type_symbol
_atom_site_fract_x
_atom_site_fract_y
_atom_site_fract_z
Dy1 Dy 0.805 0.697 0.503
Dy2 Dy 0.805 0.303 0.108
Dy3 Dy 0.697 0.892 0.195
Dy4 Dy 0.195 0.697 0.892
Dy5 Dy 0.303 0.108 0.805
Dy6 Dy 0.497 0.195 0.303
Dy7 Dy 0.697 0.503 0.805
Dy8 Dy 0.892 0.195 0.697
Dy9 Dy 0.503 0.805 0.697
Dy10 Dy 0.108 0.805 0.303
Dy11 Dy 0.195 0.303 0.497
Dy12 Dy 0.303 0.497 0.195
Ag1 Ag 0.000 0.000 0.000
Co1 Co 0.500 0.114 0.614
Co2 Co 0.500 0.886 0.386
Co3 Co 0.614 0.500 0.114
Co4 Co 0.886 0.386 0.500
Co5 Co 0.114 0.614 0.500
Co6 Co 0.386 0.500 0.886
```

Calculated values
**Space-group type**: Im-3, No. 204
**E**: -5.510 eV/atom

=====

A plane-wave DFT calculation with PBE was carried out for a geometry-optimized NpGa2Rh structure.

```
data_NpGa2Rh
_space_group_name_H-M_alt 'P 1'
_space_group_IT_number 1
_cell_length_a 2.918
_cell_length_b 2.918
_cell_length_c 9.384
_cell_angle_alpha 81.05
_cell_angle_beta 81.05
_cell_angle_gamma 60.00
loop_
_space_group_symop_operation_xyz
'x,y,z'
loop_
_atom_site_label
_atom_site_type_symbol
_atom_site_fract_x
_atom_site_fract_y
_atom_site_fract_z
Rh1 Rh 0.000 0.000 0.000
Np1 Np 0.500 0.500 0.500
Ga1 Ga 0.262 0.262 0.214
Ga2 Ga 0.738 0.738 0.786
```

Calculated values
**Space-group type**: R-3m, No. 166
**E**: -6.814 eV/atom

=====

A plane-wave DFT calculation with PBE was carried out for a geometry-optimized BeCr2CuTc structure.

```
data_BeCr2CuTc
_space_group_name_H-M_alt 'P 1'
_space_group_IT_number 1
_cell_length_a 3.966
_cell_length_b 4.071
_cell_length_c 3.966
_cell_angle_alpha 90.00
_cell_angle_beta 90.00
_cell_angle_gamma 90.00
loop_
_space_group_symop_operation_xyz
'x,y,z'
loop_
_atom_site_label
_atom_site_type_symbol
_atom_site_fract_x
_atom_site_fract_y
_atom_site_fract_z
Cr1 Cr 0.000 0.000 0.500
Cr2 Cr 0.500 0.000 0.000
Be1 Be 0.000 0.000 0.000
Tc1 Tc 0.000 0.500 0.000
Cu1 Cu 0.500 0.500 0.500
```

Calculated values
**Space-group type**: P4/mmm, No. 123
**E**: -6.601 eV/atom

=====

A plane-wave DFT calculation with PBE was carried out for a geometry-optimized SmIn7 structure.

```
data_SmIn7
_space_group_name_H-M_alt 'P 1'
_space_group_IT_number 1
_cell_length_a 6.704
_cell_length_b 6.704
_cell_length_c 6.704
_cell_angle_alpha 60.00
_cell_angle_beta 60.00
_cell_angle_gamma 60.00
loop_
_space_group_symop_operation_xyz
'x,y,z'
loop_
_atom_site_label
_atom_site_type_symbol
_atom_site_fract_x
_atom_site_fract_y
_atom_site_fract_z
In1 In 0.500 0.000 0.500
In2 In 0.000 0.500 0.500
In3 In 0.000 0.500 0.000
In4 In 0.500 0.500 0.000
In5 In 0.000 0.000 0.500
In6 In 0.500 0.500 0.500
In7 In 0.500 0.000 0.000
Sm1 Sm 0.000 0.000 0.000
```

Calculated values
**Space-group type**: Fm-3m, No. 225
**E**: -3.169 eV/atom

=====

A plane-wave DFT calculation with PBE was carried out for a geometry-optimized Mn2CuSnBr structure.

```
data_Mn2CuSnBr
_space_group_name_H-M_alt 'P 1'
_space_group_IT_number 1
_cell_length_a 5.284
_cell_length_b 5.270
_cell_length_c 5.284
_cell_angle_alpha 90.00
_cell_angle_beta 90.00
_cell_angle_gamma 90.00
loop_
_space_group_symop_operation_xyz
'x,y,z'
loop_
_atom_site_label
_atom_site_type_symbol
_atom_site_fract_x
_atom_site_fract_y
_atom_site_fract_z
Mn1 Mn 0.500 0.000 0.000
Mn2 Mn 0.000 0.000 0.500
Br1 Br 0.000 0.500 0.000
Sn1 Sn 0.500 0.500 0.500
Cu1 Cu 0.000 0.000 0.000
```

Calculated values
**Space-group type**: P4/mmm, No. 123
**E**: -4.698 eV/atom
**Uncorrected formation energy**: 0.924 eV per atom

=====

A plane-wave DFT calculation with PBE was carried out for a geometry-optimized Tc2SbBr structure.

```
data_Tc2SbBr
_space_group_name_H-M_alt 'P 1'
_space_group_IT_number 1
_cell_length_a 3.242
_cell_length_b 3.242
_cell_length_c 6.580
_cell_angle_alpha 90.00
_cell_angle_beta 90.00
_cell_angle_gamma 90.00
loop_
_space_group_symop_operation_xyz
'x,y,z'
loop_
_atom_site_label
_atom_site_type_symbol
_atom_site_fract_x
_atom_site_fract_y
_atom_site_fract_z
Br1 Br 0.500 0.500 0.250
Sb1 Sb 0.500 0.500 0.750
Tc1 Tc 0.000 0.000 0.514
Tc2 Tc 0.000 0.000 0.986
```

Calculated values
**Space-group type**: P4/mmm, No. 123
**E**: -6.038 eV/atom
**Uncorrected formation energy**: 0.594 eV per atom

=====

A plane-wave DFT calculation with PBE was carried out for a geometry-optimized Zr3Pd2N structure.

```
data_Zr3Pd2N
_space_group_name_H-M_alt 'P 1'
_space_group_IT_number 1
_cell_length_a 4.610
_cell_length_b 6.569
_cell_length_c 7.094
_cell_angle_alpha 90.03
_cell_angle_beta 108.87
_cell_angle_gamma 90.00
loop_
_space_group_symop_operation_xyz
'x,y,z'
loop_
_atom_site_label
_atom_site_type_symbol
_atom_site_fract_x
_atom_site_fract_y
_atom_site_fract_z
Pd1 Pd 0.304 0.750 0.607
Pd2 Pd 0.696 0.250 0.393
Pd3 Pd 0.304 0.250 0.607
Pd4 Pd 0.696 0.750 0.393
N1 N 0.000 0.750 0.000
N2 N 0.000 0.250 0.000
Zr1 Zr 0.500 0.750 0.000
Zr2 Zr 0.880 0.500 0.760
Zr3 Zr 0.500 0.250 0.000
Zr4 Zr 0.120 0.500 0.240
Zr5 Zr 0.880 0.000 0.760
Zr6 Zr 0.120 0.000 0.240
```

Calculated values
**Space-group type**: P2/m, No. 10
**E**: -8.326 eV/atom
**Uncorrected formation energy**: -0.934 eV per atom

=====

Taking the records one at a time from the top gives total magnetic moment values of 1.65; 0.00; 0.00; 0.00; 0.01; 0.00; 3.17; 1.77; 0.00; 8.49; 0.00; 0.00 μB/f.u..